1.
VASP calculation (PBE-GGA) on Sc2GeSb after structural relaxation.

Lattice parameters (Å, degrees): 4.974 4.974 4.974 60.00 60.00 60.00
Atoms (fractional coordinates):
Sc 0.250 0.250 0.250
Sc 0.750 0.750 0.750
Ge 0.000 0.000 0.000
Sb 0.500 0.500 0.500

Results
The uncorrected formation energy is -521 meV per atom. The density is 5.4 g/cm3.

2.
VASP calculation (PBE-GGA) on ScGe3Sb after structural relaxation.

Lattice parameters (Å, degrees): 5.217 5.217 5.217 90.00 90.00 90.00
Atoms (fractional coordinates):
Sc 0.000 0.000 0.000
Ge 0.000 0.500 0.500
Ge 0.500 0.000 0.500
Ge 0.500 0.500 0.000
Sb 0.500 0.500 0.500

Results
The uncorrected formation energy is 830 meV per atom. The density is 4.5 g/cm3.

3.
VASP calculation (PBE-GGA) on Sc3GeSb after structural relaxation.

Lattice parameters (Å, degrees): 5.020 5.020 5.020 90.00 90.00 90.00
Atoms (fractional coordinates):
Sc 0.000 0.000 0.500
Sc 0.000 0.500 0.000
Sc 0.500 0.000 0.000
Ge 0.000 0.000 0.000
Sb 0.500 0.500 0.500

Results
The uncorrected formation energy is -378 meV per atom. The density is 4.3 g/cm3.

4.
VASP calculation (PBE-GGA) on Sc2GeSb after structural relaxation.

Lattice parameters (Å, degrees): 8.861 8.861 8.861 25.47 25.47 25.47
Atoms (fractional coordinates):
Sc 0.112 0.112 0.112
Sc 0.888 0.888 0.888
Ge 0.500 0.500 0.500
Sb 0.000 0.000 0.000

Results
The uncorrected formation energy is -294 meV per atom. The density is 4.2 g/cm3.

5.
VASP calculation (PBE-GGA) on ScGeSb2 after structural relaxation.

Lattice parameters (Å, degrees): 7.856 7.856 7.856 130.69 130.69 72.31
Atoms (fractional coordinates):
Sc 0.000 0.000 0.000
Sc 0.750 0.250 0.500
Ge 0.250 0.750 0.500
Ge 0.500 0.500 0.000
Sb 0.141 0.625 0.016
Sb 0.375 0.391 0.516
Sb 0.609 0.125 0.984
Sb 0.875 0.859 0.484

Results
The uncorrected formation energy is -87 meV per atom. The density is 4.4 g/cm3.

6.
VASP calculation (PBE-GGA) on Sc3GeSb after structural relaxation.

Lattice parameters (Å, degrees): 6.861 6.861 6.861 65.28 65.28 65.28
Atoms (fractional coordinates):
Sc 0.037 0.485 0.729
Sc 0.271 0.963 0.515
Sc 0.485 0.729 0.037
Sc 0.515 0.271 0.963
Sc 0.729 0.037 0.485
Sc 0.963 0.515 0.271
Ge 0.364 0.364 0.364
Ge 0.636 0.636 0.636
Sb 0.120 0.120 0.120
Sb 0.880 0.880 0.880

Results
The uncorrected formation energy is -537 meV per atom. The density is 4.3 g/cm3.

> Which of these has the lowest uncorrected formation energy?

number 6

Repeat the first record exactly.
VASP calculation (PBE-GGA) on Sc2GeSb after structural relaxation.

Lattice parameters (Å, degrees): 4.974 4.974 4.974 60.00 60.00 60.00
Atoms (fractional coordinates):
Sc 0.250 0.250 0.250
Sc 0.750 0.750 0.750
Ge 0.000 0.000 0.000
Sb 0.500 0.500 0.500

Results
The uncorrected formation energy is -521 meV per atom. The density is 5.4 g/cm3.